A plane-wave DFT calculation with PBE was carried out for crystalline Cs2Ti2P at its relaxed geometry.

Computed properties:
* electronic total energy: -0.2837 Ry per atom
* energy of formation from the pure elements: 0.72 eV per atom

CIF file:
```
data_Cs2Ti2P
_chemical_formula_sum 'Cs2 Ti2 P1'
_cell_length_a 12.971
_cell_length_b 12.971
_cell_length_c 12.971
_cell_angle_alpha 163.83
_cell_angle_beta 163.83
_cell_angle_gamma 22.95
_symmetry_space_group_name_H-M 'P 1'
_symmetry_Int_Tables_number 1
_symmetry_space_group_name_Hall 'P 1'
loop_
_atom_site_label
_atom_site_type_symbol
_atom_site_fract_x
_atom_site_fract_y
_atom_site_fract_z
Cs1 Cs 0.094 0.094 0.000
Cs2 Cs 0.906 0.906 0.000
Ti1 Ti 0.250 0.750 0.500
Ti2 Ti 0.750 0.250 0.500
P1 P 0.500 0.500 0.000
```

***

A plane-wave DFT calculation with PBE was carried out for crystalline HfSnI2 at its relaxed geometry.

Computed properties:
* electronic total energy: -0.3140 Ry per atom
* formation energy from raw total energies: -1 kJ/mol of atoms
* energy above the most stable polymorph in this dataset: 0 meV/atom

CIF file:
```
data_HfSnI2
_chemical_formula_sum 'Hf2 Sn2 I4'
_cell_length_a 7.815
_cell_length_b 7.815
_cell_length_c 7.815
_cell_angle_alpha 97.73
_cell_angle_beta 97.73
_cell_angle_gamma 136.97
_symmetry_space_group_name_H-M 'P 1'
_symmetry_Int_Tables_number 1
_symmetry_space_group_name_Hall 'P 1'
loop_
_atom_site_label
_atom_site_type_symbol
_atom_site_fract_x
_atom_site_fract_y
_atom_site_fract_z
Hf1 Hf 0.000 0.000 0.000
Hf2 Hf 0.750 0.250 0.500
Sn1 Sn 0.250 0.750 0.500
Sn2 Sn 0.500 0.500 0.000
I1 I 0.375 0.234 0.359
I2 I 0.766 0.125 0.141
I3 I 0.875 0.016 0.641
I4 I 0.984 0.625 0.859
```

***

A plane-wave DFT calculation with PBE was carried out for crystalline LiSiHI2 at its relaxed geometry.

Computed properties:
* electronic total energy: -0.1530 Ry per atom

CIF file:
```
data_LiSiHI2
_chemical_formula_sum 'Li1 Si1 H1 I2'
_cell_length_a 5.467
_cell_length_b 5.467
_cell_length_c 4.766
_cell_angle_alpha 90.00
_cell_angle_beta 90.00
_cell_angle_gamma 90.00
_symmetry_space_group_name_H-M 'P 1'
_symmetry_Int_Tables_number 1
_symmetry_space_group_name_Hall 'P 1'
loop_
_atom_site_label
_atom_site_type_symbol
_atom_site_fract_x
_atom_site_fract_y
_atom_site_fract_z
Li1 Li 0.000 0.000 0.000
Si1 Si 0.000 0.000 0.500
H1 H 0.500 0.500 0.500
I1 I 0.000 0.500 0.000
I2 I 0.500 0.000 0.000
```

***

A plane-wave DFT calculation with PBE was carried out for crystalline FePC2 at its relaxed geometry.

Computed properties:
* electronic total energy: -0.5712 Ry per atom
* energy of formation from the pure elements: 0.31 eV per atom

CIF file:
```
data_FePC2
_chemical_formula_sum 'Fe1 P1 C2'
_cell_length_a 2.573
_cell_length_b 2.777
_cell_length_c 5.230
_cell_angle_alpha 90.00
_cell_angle_beta 90.00
_cell_angle_gamma 90.00
_symmetry_space_group_name_H-M 'P 1'
_symmetry_Int_Tables_number 1
_symmetry_space_group_name_Hall 'P 1'
loop_
_atom_site_label
_atom_site_type_symbol
_atom_site_fract_x
_atom_site_fract_y
_atom_site_fract_z
Fe1 Fe 0.000 0.000 0.000
P1 P 0.500 0.500 0.220
C1 C 0.000 0.500 0.695
C2 C 0.500 0.500 0.565
```

***

A plane-wave DFT calculation with PBE was carried out for crystalline PaH8Os2 at its relaxed geometry.

Computed properties:
* electronic total energy: -0.3894 Ry per atom

CIF file:
```
data_PaH8Os2
_chemical_formula_sum 'Pa1 H8 Os2'
_cell_length_a 4.449
_cell_length_b 4.449
_cell_length_c 6.978
_cell_angle_alpha 112.52
_cell_angle_beta 112.52
_cell_angle_gamma 54.93
_symmetry_space_group_name_H-M 'P 1'
_symmetry_Int_Tables_number 1
_symmetry_space_group_name_Hall 'P 1'
loop_
_atom_site_label
_atom_site_type_symbol
_atom_site_fract_x
_atom_site_fract_y
_atom_site_fract_z
Pa1 Pa 0.000 0.000 0.000
H1 H 0.029 0.581 0.154
H2 H 0.321 0.321 0.451
H3 H 0.407 0.407 0.829
H4 H 0.419 0.971 0.846
H5 H 0.581 0.029 0.154
H6 H 0.593 0.593 0.171
H7 H 0.679 0.679 0.549
H8 H 0.971 0.419 0.846
Os1 Os 0.455 0.455 0.300
Os2 Os 0.545 0.545 0.700
```

***

A plane-wave DFT calculation with PBE was carried out for crystalline Nb3AlCl at its relaxed geometry.

Computed properties:
* electronic total energy: -0.4890 Ry per atom
* formation energy from raw total energies: 49 kJ/mol of atoms
* energy above the most stable polymorph in this dataset: 0 meV/atom

CIF file:
```
data_Nb3AlCl
_chemical_formula_sum 'Nb3 Al1 Cl1'
_cell_length_a 4.555
_cell_length_b 4.555
_cell_length_c 4.555
_cell_angle_alpha 90.00
_cell_angle_beta 90.00
_cell_angle_gamma 90.00
_symmetry_space_group_name_H-M 'P 1'
_symmetry_Int_Tables_number 1
_symmetry_space_group_name_Hall 'P 1'
loop_
_atom_site_label
_atom_site_type_symbol
_atom_site_fract_x
_atom_site_fract_y
_atom_site_fract_z
Nb1 Nb 0.000 0.000 0.500
Nb2 Nb 0.000 0.500 0.000
Nb3 Nb 0.500 0.000 0.000
Al1 Al 0.500 0.500 0.500
Cl1 Cl 0.000 0.000 0.000
```

***

A plane-wave DFT calculation with PBE was carried out for crystalline NaIrRu at its relaxed geometry.

Computed properties:
* electronic total energy: -0.4460 Ry per atom
* energy of formation from the pure elements: 0.42 eV per atom
* energy above the most stable polymorph in this dataset: 83 meV/atom

CIF file:
```
data_NaIrRu
_chemical_formula_sum 'Na2 Ir2 Ru2'
_cell_length_a 2.725
_cell_length_b 5.254
_cell_length_c 6.859
_cell_angle_alpha 79.78
_cell_angle_beta 89.97
_cell_angle_gamma 89.82
_symmetry_space_group_name_H-M 'P 1'
_symmetry_Int_Tables_number 1
_symmetry_space_group_name_Hall 'P 1'
loop_
_atom_site_label
_atom_site_type_symbol
_atom_site_fract_x
_atom_site_fract_y
_atom_site_fract_z
Na1 Na 0.000 0.000 0.000
Na2 Na 0.495 0.010 0.358
Ir1 Ir 0.498 0.491 0.023
Ir2 Ir 0.499 0.301 0.657
Ru1 Ru 0.996 0.705 0.704
Ru2 Ru 0.997 0.516 0.343
```

***

A plane-wave DFT calculation with PBE was carried out for crystalline CrCuHg at its relaxed geometry.

Computed properties:
* electronic total energy: -0.3164 Ry per atom
* energy of formation from the pure elements: 0.37 eV per atom
* energy above the most stable polymorph in this dataset: 0 meV/atom

CIF file:
```
data_CrCuHg
_chemical_formula_sum 'Cr1 Cu1 Hg1'
_cell_length_a 5.032
_cell_length_b 5.032
_cell_length_c 5.032
_cell_angle_alpha 141.56
_cell_angle_beta 141.56
_cell_angle_gamma 55.49
_symmetry_space_group_name_H-M 'P 1'
_symmetry_Int_Tables_number 1
_symmetry_space_group_name_Hall 'P 1'
loop_
_atom_site_label
_atom_site_type_symbol
_atom_site_fract_x
_atom_site_fract_y
_atom_site_fract_z
Cr1 Cr 0.000 0.000 0.000
Cu1 Cu 0.354 0.354 0.000
Hg1 Hg 0.681 0.681 0.000
```

***

Among the records above, which one has the highest electronic total energy?
LiSiHI2

***

Number 6 is which compound?
Nb3AlCl

***

What did the fourth record say?
A plane-wave DFT calculation with PBE was carried out for crystalline FePC2 at its relaxed geometry.

Computed properties:
* electronic total energy: -0.5712 Ry per atom
* energy of formation from the pure elements: 0.31 eV per atom

CIF file:
```
data_FePC2
_chemical_formula_sum 'Fe1 P1 C2'
_cell_length_a 2.573
_cell_length_b 2.777
_cell_length_c 5.230
_cell_angle_alpha 90.00
_cell_angle_beta 90.00
_cell_angle_gamma 90.00
_symmetry_space_group_name_H-M 'P 1'
_symmetry_Int_Tables_number 1
_symmetry_space_group_name_Hall 'P 1'
loop_
_atom_site_label
_atom_site_type_symbol
_atom_site_fract_x
_atom_site_fract_y
_atom_site_fract_z
Fe1 Fe 0.000 0.000 0.000
P1 P 0.500 0.500 0.220
C1 C 0.000 0.500 0.695
C2 C 0.500 0.500 0.565
```